Density functional theory data (PBE) for ZrAl3Cd after structural relaxation.

Unit cell a=4.914 b=4.914 c=4.914 alpha=90.00 beta=90.00 gamma=90.00
Atoms (fractional coordinates):
Al 0.500 0.000 0.000
Al 0.000 0.500 0.000
Al 0.000 0.000 0.500
Zr 0.500 0.500 0.500
Cd 0.000 0.000 0.000

Properties
E_form = 0.87 eV per atom
SG = Pm-3m (221)
ρ = 4.0 g cm⁻³
energy = -3.272 eV per atom
distance to the lowest polymorph of the same formula = 0 kJ/mol of formula units
total magnetic moment = 0.000 μB/f.u.
crystal system = cubic


Density functional theory data (PBE) for ZrAl2Cd after structural relaxation.

Unit cell a=4.798 b=4.798 c=4.798 alpha=60.00 beta=60.00 gamma=60.00
Each line ends with the local moment (μB).
Atoms (fractional coordinates):
Al 0.250 0.250 0.250  0.01
Al 0.000 0.000 0.000  0.01
Cd 0.500 0.500 0.500  0.01
Zr 0.750 0.750 0.750  0.23

Properties
E_form = 0.12 eV per atom
SG = F-43m (216)
ρ = 5.5 g cm⁻³
energy = -4.118 eV per atom
total magnetic moment = 0.421 μB/f.u.
crystal system = cubic


Density functional theory data (PBE) for ZrAl2Cd after structural relaxation.

Unit cell a=4.274 b=4.274 c=4.083 alpha=90.00 beta=90.00 gamma=90.00
Atoms (fractional coordinates):
Cd 0.500 0.000 0.500
Zr 0.000 0.500 0.500
Al 0.000 0.000 0.000
Al 0.500 0.500 0.000

Properties
E_form = -0.36 eV per atom
SG = P4/mmm (123)
ρ = 5.7 g cm⁻³
energy = -4.593 eV per atom
total magnetic moment = 0.000 μB/f.u.
crystal system = tetragonal


Density functional theory data (PBE) for ZrAl2Cd after structural relaxation.

Unit cell a=3.014 b=3.014 c=8.578 alpha=90.00 beta=90.00 gamma=90.03
Atoms (fractional coordinates):
Cd 0.000 0.000 0.490
Zr 0.500 0.500 0.771
Al 0.000 0.000 0.009
Al 0.500 0.500 0.230

Properties
E_form = -0.06 eV per atom
SG = P4mm (99)
ρ = 5.5 g cm⁻³
energy = -4.301 eV per atom
total magnetic moment = 0.000 μB/f.u.
crystal system = tetragonal


What did the third record say?
Density functional theory data (PBE) for ZrAl2Cd after structural relaxation.

Unit cell a=4.274 b=4.274 c=4.083 alpha=90.00 beta=90.00 gamma=90.00
Atoms (fractional coordinates):
Cd 0.500 0.000 0.500
Zr 0.000 0.500 0.500
Al 0.000 0.000 0.000
Al 0.500 0.500 0.000

Properties
E_form = -0.36 eV per atom
SG = P4/mmm (123)
ρ = 5.7 g cm⁻³
energy = -4.593 eV per atom
total magnetic moment = 0.000 μB/f.u.
crystal system = tetragonal